5
Lattice="4.8516 0.0000 0.0000 0.0000 4.8516 0.0000 0.0000 0.0000 4.9679" Properties=species:S:1:pos:R:3 comment="PBE-GGA TiTc2SbAu, optimized geometry" magnetic_moment_mub_per_cell=1.91 polymorph_energy_mev_per_atom=352.7 final_energy_ev_per_atom=-5.69 pbc="T T T"
Ti 0.0000 0.0000 0.0000
Tc 0.0000 2.4258 2.4839
Tc 2.4258 0.0000 2.4839
Sb 0.0000 0.0000 2.4839
Au 2.4258 2.4258 0.0000